Entry 1:
Material: NbTc2
Method: DFT, PBE
State: optimized geometry

Cell lengths 7.903, 7.903, 7.903 Å; angles 60.00, 60.00, 60.00 degrees
Element x y z (fractional)
Tc 0.375 0.375 0.875
Tc 0.375 0.375 0.375
Tc 0.875 0.375 0.375
Tc 0.375 0.875 0.375
Nb 0.250 0.250 0.250
Nb 0.500 0.500 0.500

Summary:
ΔH_f (0 K)   3419.5 meV per atom
Energy above the lowest structure with this stoichiometry   3478.2 meV/atom
Calculated volume   58.175 Å³ per atom
Energy   -6.852 eV/atom

=====

Entry 2:
Material: Li4HfPtO6
Method: DFT, PBE
State: optimized geometry

Cell lengths 5.168, 5.168, 5.206 Å; angles 99.41, 99.41, 120.02 degrees
Element x y z (fractional)
O 0.416 0.077 0.760
O 0.763 0.759 0.757
O 0.923 0.584 0.240
O 0.574 0.920 0.242
O 0.080 0.426 0.758
O 0.241 0.237 0.243
Li 0.652 0.348 0.500
Li 0.015 0.985 0.500
Li 0.336 0.664 0.500
Li 0.499 0.501 0.000
Pt 0.167 0.833 0.000
Hf 0.833 0.167 0.000

Summary:
Calculated volume   9.483 Å³ per atom
Energy   -6.499 eV/atom

=====

Entry 3:
Material: RbDyScTe3
Method: DFT, PBE
State: optimized geometry

Cell lengths 8.578, 8.578, 11.734 Å; angles 90.00, 90.00, 149.70 degrees
Element x y z (fractional)
Te 0.871 0.129 0.451
Te 0.129 0.871 0.549
Te 0.436 0.564 0.750
Te 0.564 0.436 0.250
Te 0.129 0.871 0.951
Te 0.871 0.129 0.049
Dy 0.500 0.500 0.000
Dy 0.500 0.500 0.500
Sc 0.959 0.041 0.250
Sc 0.041 0.959 0.750
Rb 0.241 0.759 0.250
Rb 0.759 0.241 0.750

Summary:
Calculated volume   36.299 Å³ per atom
Energy   -4.775 eV/atom

=====

Entry 4:
Material: Hf3AuC2
Method: DFT, PBE
State: optimized geometry

Cell lengths 3.295, 3.295, 19.439 Å; angles 90.00, 90.00, 120.00 degrees
Element x y z (fractional)
Au 0.000 0.000 0.750
Au 0.000 0.000 0.250
Hf 0.333 0.667 0.867
Hf 0.667 0.333 0.133
Hf 0.333 0.667 0.633
Hf 0.667 0.333 0.367
Hf 0.000 0.000 0.500
Hf 0.000 0.000 0.000
C 0.667 0.333 0.571
C 0.667 0.333 0.929
C 0.333 0.667 0.071
C 0.333 0.667 0.429

Summary:
Calculated volume   15.227 Å³ per atom
Energy   -9.414 eV/atom

=====

Entry 5:
Material: DyHo2Cu4Si4
Method: DFT, PBE
State: optimized geometry

Cell lengths 7.839, 7.839, 7.839 Å; angles 149.54, 130.81, 58.97 degrees
Element x y z (fractional)
Si 0.784 0.784 0.000
Si 0.684 0.500 0.184
Si 0.316 0.500 0.816
Si 0.216 0.216 0.000
Cu 0.022 0.331 0.691
Cu 0.640 0.331 0.309
Cu 0.360 0.669 0.691
Cu 0.978 0.669 0.309
Ho 0.630 0.130 0.500
Ho 0.370 0.870 0.500
Dy 0.000 0.000 0.000

Summary:
Calculated volume   16.668 Å³ per atom
Energy   -5.215 eV/atom

=====

Entry 6:
Material: PuBeNi
Method: DFT, PBE
State: optimized geometry

Cell lengths 4.137, 4.137, 4.137 Å; angles 60.00, 60.00, 60.00 degrees
Element x y z (fractional)
Ni 0.000 0.000 0.000
Pu 0.250 0.250 0.250
Be 0.750 0.750 0.750

Summary:
Energy above the lowest structure with this stoichiometry   0.0 meV/atom
Calculated volume   16.694 Å³ per atom
Energy   -7.494 eV/atom

=====

Entry 7:
Material: CsPrCdTe2Se
Method: DFT, PBE
State: optimized geometry

Cell lengths 8.714, 8.714, 11.758 Å; angles 90.00, 90.00, 149.52 degrees
Element x y z (fractional)
Te 0.370 0.630 0.049
Te 0.630 0.370 0.951
Te 0.370 0.630 0.451
Te 0.630 0.370 0.549
Se 0.055 0.945 0.250
Se 0.945 0.055 0.750
Cs 0.737 0.263 0.250
Cs 0.263 0.737 0.750
Pr 0.000 0.000 0.500
Pr 0.000 0.000 0.000
Cd 0.462 0.538 0.250
Cd 0.538 0.462 0.750

Summary:
Calculated volume   37.746 Å³ per atom
Energy   -3.916 eV/atom

=====

Entry 8:
Material: Be2MoPd
Method: DFT, PBE
State: optimized geometry

Cell lengths 4.147, 4.147, 4.147 Å; angles 60.00, 60.00, 60.00 degrees
Element x y z (fractional)
Pd 0.000 0.000 0.000
Mo 0.750 0.750 0.750
Be 0.500 0.500 0.500
Be 0.250 0.250 0.250

Summary:
Calculated volume   12.608 Å³ per atom
Energy   -5.639 eV/atom

=====

Entry 9:
Material: CdGeW2
Method: DFT, PBE
State: optimized geometry

Cell lengths 4.577, 4.577, 4.577 Å; angles 60.00, 60.00, 60.00 degrees
Element x y z (fractional)
W 0.000 0.000 0.000
W 0.750 0.750 0.750
Cd 0.250 0.250 0.250
Ge 0.500 0.500 0.500

Summary:
Calculated volume   16.955 Å³ per atom
Energy   -7.117 eV/atom

=====

Entry 10:
Material: BeNbTlFe
Method: DFT, PBE
State: optimized geometry

Cell lengths 4.462, 4.462, 4.462 Å; angles 60.00, 60.00, 60.00 degrees
Element x y z (fractional)
Be 0.500 0.500 0.500
Tl 0.000 0.000 0.000
Nb 0.250 0.250 0.250
Fe 0.750 0.750 0.750

Summary:
Energy above the lowest structure with this stoichiometry   296.2 meV/atom
Calculated volume   15.705 Å³ per atom
Energy   -5.481 eV/atom

=====

Entry 11:
Material: B2Pd2O5
Method: DFT, PBE
State: optimized geometry

Cell lengths 6.858, 3.336, 3.336 Å; angles 90.00, 90.00, 90.00 degrees
Element x y z (fractional)
Pd 0.500 0.000 0.000
Pd 0.000 0.000 0.000
O 0.785 0.500 0.000
O 0.785 0.000 0.500
O 0.215 0.000 0.500
O 0.215 0.500 0.000
O 0.500 0.500 0.500
B 0.288 0.500 0.500
B 0.712 0.500 0.500

Summary:
Energy above the lowest structure with this stoichiometry   0.0 meV/atom
Calculated volume   8.481 Å³ per atom
Energy   -5.775 eV/atom

=====

Entry 12:
Material: Tm2AlCoOs
Method: DFT, PBE
State: optimized geometry

Cell lengths 5.425, 5.425, 5.425 Å; angles 136.11, 78.56, 118.53 degrees
Element x y z (fractional)
Al 0.005 0.005 0.000
Tm 0.300 0.507 0.793
Tm 0.714 0.507 0.207
Co 0.274 0.774 0.500
Os 0.707 0.207 0.500

Summary:
Calculated volume   18.881 Å³ per atom
Energy   -6.665 eV/atom

=====

Question: Look up the calculated volume of the second one.
Answer: 9.483 Å³ per atom

=====

Repeat the fourth record exactly.
Material: Hf3AuC2
Method: DFT, PBE
State: optimized geometry

Cell lengths 3.295, 3.295, 19.439 Å; angles 90.00, 90.00, 120.00 degrees
Element x y z (fractional)
Au 0.000 0.000 0.750
Au 0.000 0.000 0.250
Hf 0.333 0.667 0.867
Hf 0.667 0.333 0.133
Hf 0.333 0.667 0.633
Hf 0.667 0.333 0.367
Hf 0.000 0.000 0.500
Hf 0.000 0.000 0.000
C 0.667 0.333 0.571
C 0.667 0.333 0.929
C 0.333 0.667 0.071
C 0.333 0.667 0.429

Summary:
Calculated volume   15.227 Å³ per atom
Energy   -9.414 eV/atom

=====

Question: Look up the energy of the third one.
Answer: -4.775 eV/atom

=====

Question: Look up the energy of the tenth one.
Answer: -5.481 eV/atom